Record 1
{"formula": "DyCdRh2", "functional": "PBE", "state": "relaxed", "formation_energy_ev_per_atom": -0.58, "dos_at_fermi_per_ev_cell": 1.6, "de_polymorph_ev_per_atom": 0.0313, "lattice_angstrom": [[0.0000, 3.3156, 3.3156], [3.3156, 0.0000, 3.3156], [3.3156, 3.3156, 0.0000]], "species": ["Dy", "Cd", "Rh", "Rh"], "frac_coords": [[0.0000, 0.0000, 0.0000], [0.5000, 0.5000, 0.5000], [0.2500, 0.2500, 0.2500], [0.7500, 0.7500, 0.7500]]}

Record 2
{"formula": "Y2TlP", "functional": "PBE", "state": "relaxed", "formation_energy_ev_per_atom": -0.56, "dos_at_fermi_per_ev_cell": 2.7, "de_polymorph_ev_per_atom": 0.4354, "lattice_angstrom": [[3.3060, -3.9381, 0.0000], [3.3060, 3.9381, 0.0000], [-0.0099, 0.0000, 3.7119]], "species": ["Y", "Y", "Tl", "P"], "frac_coords": [[0.0000, 0.5000, 0.0000], [0.5000, 0.0000, 0.0000], [0.0000, 0.0000, 0.5000], [0.5000, 0.5000, 0.5000]]}

Record 3
{"formula": "Rb2NaCdBr6", "functional": "PBE", "state": "relaxed", "raw_formation_energy_ev_per_atom": -1.178, "dos_at_fermi_per_ev_cell": 11.3, "lattice_angstrom": [[0.0000, 5.6379, 5.6379], [5.6379, 0.0000, 5.6379], [5.6379, 5.6379, 0.0000]], "species": ["Rb", "Rb", "Na", "Cd", "Br", "Br", "Br", "Br", "Br", "Br"], "frac_coords": [[0.2500, 0.2500, 0.2500], [0.7500, 0.7500, 0.7500], [0.0000, 0.0000, 0.0000], [0.5000, 0.5000, 0.5000], [0.2552, 0.2552, 0.7448], [0.2552, 0.7448, 0.2552], [0.2552, 0.7448, 0.7448], [0.7448, 0.2552, 0.2552], [0.7448, 0.2552, 0.7448], [0.7448, 0.7448, 0.2552]]}

Record 4
{"formula": "Cs4Rb2ZnSn2", "functional": "PBE", "state": "relaxed", "formation_energy_ev_per_atom": -0.04, "dos_at_fermi_per_ev_cell": 6.7, "lattice_angstrom": [[8.0485, -4.3296, 0.0000], [8.0485, 4.3296, 0.0000], [-1.9832, 0.0000, 7.0262]], "species": ["Cs", "Cs", "Cs", "Cs", "Rb", "Rb", "Zn", "Sn", "Sn"], "frac_coords": [[0.1200, 0.6450, 0.7575], [0.3550, 0.8800, 0.2425], [0.6450, 0.1200, 0.7575], [0.8800, 0.3550, 0.2425], [0.3362, 0.3362, 0.2089], [0.6638, 0.6638, 0.7911], [0.0000, 0.0000, 0.5000], [0.1545, 0.1545, 0.7480], [0.8455, 0.8455, 0.2520]]}

Record 5
{"formula": "NpZnRhAu", "functional": "PBE", "state": "relaxed", "formation_energy_ev_per_atom": -0.14, "dos_at_fermi_per_ev_cell": 7.9, "lattice_angstrom": [[0.0000, 3.3491, 3.3491], [3.3491, 0.0000, 3.3491], [3.3491, 3.3491, 0.0000]], "species": ["Np", "Zn", "Rh", "Au"], "frac_coords": [[0.0000, 0.0000, 0.0000], [0.5000, 0.5000, 0.5000], [0.7500, 0.7500, 0.7500], [0.2500, 0.2500, 0.2500]]}

Record 6
{"formula": "ZnInAg", "functional": "PBE", "state": "relaxed", "formation_energy_ev_per_atom": 0.08, "dos_at_fermi_per_ev_cell": 0.8, "de_polymorph_ev_per_atom": 0.0725, "lattice_angstrom": [[4.5952, 0.0000, 0.0000], [-2.2976, 3.9795, 0.0000], [0.0000, 0.0000, 3.3015]], "species": ["Zn", "In", "Ag"], "frac_coords": [[0.0000, 0.0000, 0.0000], [0.6667, 0.3333, 0.5027], [0.3333, 0.6667, 0.0046]]}